(1)
Below is a geometry-optimized GeBr3 structure, with properties calculated at the PBE level.

abc: 7.364 7.364 7.364
angles: 97.62 97.62 137.29
Element x y z (fractional)
Ge (0.000, 0.000, 0.000)
Ge (0.750, 0.250, 0.500)
Br (0.250, 0.750, 0.500)
Br (0.375, 0.242, 0.367)
Br (0.500, 0.500, 0.000)
Br (0.758, 0.125, 0.133)
Br (0.875, 0.008, 0.633)
Br (0.992, 0.625, 0.867)

distance to the lowest polymorph of the same formula: 69 meV per atom
volume: 252.2 Å³/cell
space group: I-42d
energy relative to the elements, uncorrected: -19.9 kJ/mol of atoms
crystal system: tetragonal



(2)
Below is a geometry-optimized GeBr structure, with properties calculated at the PBE level.

abc: 4.194 3.434 8.383
angles: 90.00 90.22 90.00
Element x y z (fractional)
Ge (0.250, 0.250, 0.055)
Ge (0.750, 0.750, 0.945)
Br (0.252, 0.750, 0.297)
Br (0.748, 0.250, 0.703)

distance to the lowest polymorph of the same formula: 26 meV per atom
volume: 120.8 Å³/cell
space group: P2_1/m
energy relative to the elements, uncorrected: -17.5 kJ/mol of atoms
crystal system: monoclinic



(3)
Below is a geometry-optimized GeBr structure, with properties calculated at the PBE level.

abc: 3.278 3.565 5.009
angles: 90.00 108.91 90.00
Element x y z (fractional)
Ge (0.000, 0.000, 0.000)
Br (0.204, 0.500, 0.411)

distance to the lowest polymorph of the same formula: 260 meV per atom
volume: 55.4 Å³/cell
space group: Pm
energy relative to the elements, uncorrected: 5.1 kJ/mol of atoms
crystal system: monoclinic